(w)
Here is a relaxed La2MoO5 crystal from Alexandria via LeMat-Bulk. Energies are from PBE+U.

Cell and atoms, written as extended XYZ:
```
32
Lattice="9.9917 0.0000 0.0000 0.0000 6.9324 0.0000 0.0000 0.0000 6.1396" Properties=species:S:1:pos:R:3 pbc="T T T"
La 1.7064 0.0172 0.2630
La 1.7064 3.4490 0.2630
La 3.2895 3.4834 3.3328
La 3.2895 6.9152 3.3328
La 6.7022 0.0172 2.8068
La 6.7022 3.4490 2.8068
La 8.2853 3.4834 5.8766
La 8.2853 6.9152 5.8766
Mo 0.0026 1.7331 3.3824
Mo 9.9891 5.1993 2.7572
Mo 4.9985 1.7331 5.8270
Mo 4.9932 5.1993 0.3126
O 0.0547 1.7331 5.6197
O 0.7883 3.6978 4.0549
O 0.7883 6.7009 4.0549
O 1.8218 1.7331 2.1972
O 2.0371 5.1993 2.0555
O 2.9588 1.7331 5.1254
O 3.1741 5.1993 5.2671
O 4.2076 0.2316 0.9851
O 4.2076 3.2346 0.9851
O 4.9412 5.1993 2.5499
O 5.0505 1.7331 3.5898
O 5.7841 3.6978 5.1546
O 5.7841 6.7009 5.1546
O 6.8176 1.7331 0.8726
O 7.0329 5.1993 1.0143
O 7.9547 1.7331 4.0841
O 8.1700 5.1993 3.9424
O 9.2034 0.2316 2.0847
O 9.2034 3.2346 2.0847
O 9.9371 5.1993 0.5200
```

Computed properties:
* size of the total moment: 2.00 μB per formula unit
* density: 7087 kg/m³
* volume: 13.29 Å³ per atom

---

(x)
Here is a relaxed La2MoO5 crystal from Alexandria via LeMat-Bulk. Energies are from PBE+U.

Cell and atoms, written as extended XYZ:
```
16
Lattice="-4.5119 4.5119 3.0471 4.5119 -4.5119 3.0471 4.5119 4.5119 -3.0471" Properties=species:S:1:pos:R:3 pbc="T T T"
La 6.1222 0.9738 0.0000
La 0.9738 2.9016 0.0000
La 3.5381 1.6103 3.0471
La -1.6103 3.5381 3.0471
Mo 0.0000 0.0000 1.8025
Mo 0.0000 0.0000 4.2917
O 5.3650 2.7991 -1.6132
O 2.7991 3.6589 -1.6132
O 4.5119 0.0000 1.5235
O 1.7128 0.8530 1.4339
O -0.8530 1.7128 1.4339
O 5.3650 2.7991 1.6132
O 2.7991 3.6589 1.6132
O 0.0000 4.5119 1.5235
O 1.7128 0.8530 4.6603
O -0.8530 1.7128 4.6603
```

Computed properties:
* size of the total moment: 1.00 μB per formula unit
* density: 6073 kg/m³
* volume: 15.51 Å³ per atom

---

Most stable: (w). Least stable: (x).

---

(w)
Here is a relaxed LaMo2O2 crystal from Alexandria via LeMat-Bulk. Energies are from PBE+U.

Cell and atoms, written as extended XYZ:
```
10
Lattice="7.6179 0.0000 0.0000 0.0000 7.6179 0.0000 0.0000 0.0000 2.8504" Properties=species:S:1:pos:R:3 pbc="T T T"
La 0.0000 0.0000 0.0000
La 3.8089 3.8089 0.0000
Mo 0.8809 2.9281 0.0000
Mo 2.9281 6.7370 0.0000
Mo 4.6898 0.8809 0.0000
Mo 6.7370 4.6898 0.0000
O 0.8829 4.6918 1.4252
O 2.9261 0.8829 1.4252
O 4.6918 6.7350 1.4252
O 6.7350 2.9261 1.4252
```

Computed properties:
* size of the total moment: 1.88 μB per formula unit
* density: 7284 kg/m³
* volume: 16.54 Å³ per atom

---

(x)
Here is a relaxed LaMo2O2 crystal from Alexandria via LeMat-Bulk. Energies are from PBE+U.

Cell and atoms, written as extended XYZ:
```
5
Lattice="-2.1007 2.1007 4.3184 2.1007 -2.1007 4.3184 2.1007 2.1007 -4.3184" Properties=species:S:1:pos:R:3 pbc="T T T"
La 0.0000 0.0000 0.0000
Mo 0.0000 0.0000 3.1193
Mo 0.0000 0.0000 5.5176
O 2.1007 0.0000 2.1592
O 0.0000 2.1007 2.1592
```

Computed properties:
* size of the total moment: 1.84 μB per formula unit
* density: 7903 kg/m³
* volume: 15.25 Å³ per atom

---

Most stable: (x). Least stable: (w).

---

(w)
Here is a relaxed LaMoPO2 crystal from Alexandria via LeMat-Bulk. Energies are from PBE+U.

Cell and atoms, written as extended XYZ:
```
5
Lattice="4.1173 0.0000 0.0000 0.0000 4.1173 0.0000 0.0000 0.0000 5.0479" Properties=species:S:1:pos:R:3 pbc="T T T"
La 0.0000 0.0000 0.0000
Mo 2.0586 2.0586 2.5239
P 2.0586 2.0586 0.0000
O 0.0000 2.0586 2.5239
O 2.0586 0.0000 2.5239
```

Computed properties:
* size of the total moment: 2.00 μB per formula unit
* density: 5779 kg/m³
* volume: 17.11 Å³ per atom

---

(x)
Here is a relaxed LaMoPO2 crystal from Alexandria via LeMat-Bulk. Energies are from PBE+U.

Cell and atoms, written as extended XYZ:
```
5
Lattice="4.1924 0.0000 0.0000 0.0000 4.1924 0.0000 0.0000 0.0000 6.5966" Properties=species:S:1:pos:R:3 pbc="T T T"
La 0.0000 0.0000 0.0000
Mo 2.0962 2.0962 3.2983
P 0.0000 0.0000 3.2983
O 0.0000 2.0962 0.0000
O 2.0962 0.0000 0.0000
```

Computed properties:
* size of the total moment: 2.60 μB per formula unit
* density: 4265 kg/m³
* volume: 23.19 Å³ per atom

---

Most stable: (w). Least stable: (x).